First-principles (SCAN) data for NiP2Ir at its PBEsol-relaxed geometry, as listed in the Alexandria database.

Lattice parameters (Å, degrees): 6.4763 3.4076 4.9790 90.00 93.06 90.00
With the nearest neighbours (Å) after each atom.
Sites, in units of the cell vectors:
Ni 0.0000 0.0000 0.0000  5 P 2.20-2.41
Ni 0.5000 0.5000 0.0000  5 P 2.20-2.41
P 0.1023 0.5000 0.2647  2 Ni 2.23, 3 Ir 2.28-2.42
P 0.2880 0.0000 0.7835  3 Ni 2.20-2.41, 2 Ir 2.40
P 0.6023 0.0000 0.2647  2 Ni 2.23, 3 Ir 2.28-2.42
P 0.7880 0.5000 0.7835  3 Ni 2.20-2.41, 2 Ir 2.40
Ir 0.4152 0.5000 0.4965  5 P 2.28-2.42, 1 Ni 2.54
Ir 0.9152 0.0000 0.4965  5 P 2.28-2.42, 1 Ni 2.54

Results
As for the excess energy over the best structure of this formula in the dataset: 0 kJ/mol of formula units.

=====

First-principles (SCAN) data for NiPIr2 at its PBEsol-relaxed geometry, as listed in the Alexandria database.

Lattice parameters (Å, degrees): 2.7396 4.7238 8.2003 90.00 90.00 90.00
With the nearest neighbours (Å) after each atom.
Sites, in units of the cell vectors:
Ni 0.0000 0.0000 0.0000  4 Ir 2.55, 6 Ni 2.73-2.74
Ni 0.5000 0.5000 0.0000  4 Ir 2.55, 6 Ni 2.73-2.74
P 0.0000 0.0000 0.5000  4 Ir 2.38
P 0.5000 0.5000 0.5000  4 Ir 2.38
Ir 0.0000 0.5000 0.2622  2 P 2.38, 2 Ni 2.55
Ir 0.0000 0.5000 0.7378  2 P 2.38, 2 Ni 2.55
Ir 0.5000 0.0000 0.2622  2 P 2.38, 2 Ni 2.55
Ir 0.5000 0.0000 0.7378  2 P 2.38, 2 Ni 2.55

=====

no.,volume (Å³/cell),energy of formation from the pure elements (kcal/mol of atoms)
1,109.72,-9.602
2,106.12,7.839